Below is crystalline HoCo4Cu3O12 at its relaxed geometry, with properties calculated at the PBE+U level.

Geometry as POSCAR:
```
HoCo4Cu3O12
1.0
-0.129 -0.434 -6.279
-0.727 -5.725 2.515
-4.667 3.752 1.940
Ho Co Cu O
1 4 3 12
Direct
0.000 0.000 0.000
0.500 0.000 0.000
0.500 0.500 0.500
0.000 0.500 0.000
0.000 0.000 0.500
0.000 0.500 0.500
0.500 0.500 0.000
0.500 0.000 0.500
0.305 0.829 0.134
0.695 0.171 0.866
0.695 0.829 0.525
0.866 0.695 0.171
0.829 0.134 0.305
0.171 0.475 0.305
0.475 0.305 0.171
0.171 0.866 0.695
0.305 0.171 0.475
0.134 0.305 0.829
0.829 0.525 0.695
0.525 0.695 0.829
```

Values from the calculation:
The final energy is -5.939 eV/atom. Its density of states at the Fermi level is 2.88 states/eV per cell. Its spin magnetization is 0.40 μB/atom. The symmetry is Im-3.